The following is a PBE-GGA calculation of a geometry-optimized HoIr structure, from OQMD via LeMat-Bulk.

Computed properties:
The value obtained for the formation energy is -853 meV/atom.

a b c (Å): 3.400 3.400 3.400
angles (deg): 90.00 90.00 90.00
Space group Pm-3m (No. 221)
One atom of each set of equivalent atoms:
1 Ho 0.000 0.000 0.000 [1 per cell]
2 Ir 0.500 0.500 0.500 [1 per cell]


The following is a PBE-GGA calculation of a geometry-optimized Ho2Ir structure, from OQMD via LeMat-Bulk.

Computed properties:
The value obtained for the formation energy is -684 meV/atom.

a b c (Å): 7.5893 7.5893 4.2184
angles (deg): 90.00 90.00 120.00
Space group P-62m (No. 189)
One atom of each set of equivalent atoms:
1 Ho 0.0000 0.4138 0.0000 [3 per cell]
2 Ho 0.0000 0.7435 0.5000 [3 per cell]
3 Ir 0.0000 0.0000 0.0000 [1 per cell]
4 Ir 0.3333 0.6667 0.5000 [2 per cell]